Record 1
# KBeSe3 | Alexandria | PBE-GGA | optimized geometry
# Formation energy from raw total energies: -215 meV/atom
# Symmetry: Pm-3m
# Total energy: -3.271 eV per atom
data_KBeSe3
_symmetry_space_group_name_H-M 'P 1'
_symmetry_Int_Tables_number 1
_cell_length_a 4.8239
_cell_length_b 4.8239
_cell_length_c 4.8239
_cell_angle_alpha 90.00
_cell_angle_beta 90.00
_cell_angle_gamma 90.00
loop_
_symmetry_equiv_pos_as_xyz
'x,y,z'
loop_
_atom_site_label
_atom_site_type_symbol
_atom_site_fract_x
_atom_site_fract_y
_atom_site_fract_z
Be1 Be 0.0000 0.0000 0.0000
K1 K 0.5000 0.5000 0.5000
Se1 Se 0.0000 0.5000 0.0000
Se2 Se 0.0000 0.0000 0.5000
Se3 Se 0.5000 0.0000 0.0000

***

Record 2
# PrSm2Ga | Alexandria | PBE-GGA | optimized geometry
# DFT formation energy: -0.2315 eV per atom
# Symmetry: P4/mmm
# Total energy: -4.543 eV per atom
data_PrSm2Ga
_symmetry_space_group_name_H-M 'P 1'
_symmetry_Int_Tables_number 1
_cell_length_a 4.8108
_cell_length_b 4.8515
_cell_length_c 4.8515
_cell_angle_alpha 90.00
_cell_angle_beta 90.00
_cell_angle_gamma 90.00
loop_
_symmetry_equiv_pos_as_xyz
'x,y,z'
loop_
_atom_site_label
_atom_site_type_symbol
_atom_site_fract_x
_atom_site_fract_y
_atom_site_fract_z
Pr1 Pr 0.5000 0.0000 0.0000
Ga1 Ga 0.5000 0.5000 0.5000
Sm1 Sm 0.0000 0.0000 0.5000
Sm2 Sm 0.0000 0.5000 0.0000

***

Record 3
# Pa2B2OsRu5 | Alexandria | PBE-GGA | optimized geometry
# DFT formation energy: -0.4025 eV per atom
# Symmetry: P4/mbm
# Total energy: -9.398 eV per atom
data_Pa2B2OsRu5
_symmetry_space_group_name_H-M 'P 1'
_symmetry_Int_Tables_number 1
_cell_length_a 3.1493
_cell_length_b 9.6386
_cell_length_c 9.6386
_cell_angle_alpha 90.00
_cell_angle_beta 90.00
_cell_angle_gamma 90.00
loop_
_symmetry_equiv_pos_as_xyz
'x,y,z'
loop_
_atom_site_label
_atom_site_type_symbol
_atom_site_fract_x
_atom_site_fract_y
_atom_site_fract_z
Pa1 Pa 0.0000 0.6795 0.1795
Pa2 Pa 0.0000 0.3205 0.8205
Pa3 Pa 0.0000 0.1795 0.3205
Pa4 Pa 0.0000 0.8205 0.6795
B1 B 0.0000 0.1179 0.6179
B2 B 0.0000 0.8821 0.3821
B3 B 0.0000 0.6179 0.8821
B4 B 0.0000 0.3821 0.1179
Os1 Os 0.0000 0.0000 0.0000
Os2 Os 0.0000 0.5000 0.5000
Ru1 Ru 0.5000 0.2241 0.0703
Ru2 Ru 0.5000 0.7759 0.9297
Ru3 Ru 0.5000 0.0703 0.7759
Ru4 Ru 0.5000 0.7241 0.4297
Ru5 Ru 0.5000 0.9297 0.2241
Ru6 Ru 0.5000 0.2759 0.5703
Ru7 Ru 0.5000 0.5703 0.7241
Ru8 Ru 0.5000 0.4297 0.2759
Ru9 Ru 0.5000 0.5000 0.0000
Ru10 Ru 0.5000 0.0000 0.5000

***

Record 4
# LiSiTc2 | Alexandria | PBE-GGA | optimized geometry
# Formation energy from raw total energies: 4 meV/atom
# Symmetry: P2/m
# Total energy: -7.013 eV per atom
data_LiSiTc2
_symmetry_space_group_name_H-M 'P 1'
_symmetry_Int_Tables_number 1
_cell_length_a 4.0699
_cell_length_b 2.6450
_cell_length_c 5.0542
_cell_angle_alpha 81.70
_cell_angle_beta 90.00
_cell_angle_gamma 90.00
loop_
_symmetry_equiv_pos_as_xyz
'x,y,z'
loop_
_atom_site_label
_atom_site_type_symbol
_atom_site_fract_x
_atom_site_fract_y
_atom_site_fract_z
Li1 Li 0.5000 0.2500 0.2500
Si1 Si 0.5000 0.7500 0.7500
Tc1 Tc 0.0000 0.9664 0.0048
Tc2 Tc 0.0000 0.5336 0.4952